1.
# BeRhS2Cl

A relaxed BeRhS2Cl crystal (PBEsol, the Alexandria database).

a b c (Å): 4.2974 4.2974 4.0681
angles (deg): 90.00 90.00 90.00
Element x y z (fractional)
Be  0.0000  0.0000  0.0000
Rh  0.5000  0.5000  0.5000
S  0.0000  0.5000  0.0000
S  0.5000  0.0000  0.0000
Cl  0.0000  0.0000  0.5000

Values from the calculation:
DOS(E_F), states/eV/cell: 5.9
Formation energy from raw total energies, meV per atom: 413
Uncorrected energy, eV/atom: -4.17

2.
# BeRu2Cl

A relaxed BeRu2Cl crystal (PBEsol, the Alexandria database).

a b c (Å): 2.7307 4.0420 4.7064
angles (deg): 90.00 90.00 90.00
Element x y z (fractional)
Be  0.0000  0.0000  0.0000
Ru  0.0000  0.5000  0.5000
Ru  0.5000  0.5000  0.0000
Cl  0.5000  0.0000  0.5000

Values from the calculation:
DOS(E_F), states/eV/cell: 4.9
Formation energy from raw total energies, meV per atom: 623
Uncorrected energy, eV/atom: -5.97

3.
# BeRu2Cl

A relaxed BeRu2Cl crystal (PBEsol, the Alexandria database).

a b c (Å): 2.8587 2.8587 5.9377
angles (deg): 90.00 90.00 90.00
Element x y z (fractional)
Be  0.0000  0.0000  0.0000
Ru  0.5000  0.5000  0.2187
Ru  0.5000  0.5000  0.7813
Cl  0.0000  0.0000  0.5000

Values from the calculation:
DOS(E_F), states/eV/cell: 3.7
Formation energy from raw total energies, meV per atom: 356
Uncorrected energy, eV/atom: -6.23

Which value of uncorrected energy does entry 3 give? -6.23 eV/atom

What is the formation energy from raw total energies in the second record? 623 meV per atom

Which of these has the lowest uncorrected energy? number 3